[1]
# Sr2ScCd12Ag3

A relaxed Sr2ScCd12Ag3 crystal (GGA-PBE, Alexandria).

Properties
Formation energy from the elements (meV/atom): 78

Structure (CIF):
```
data_Sr2ScCd12Ag3
_chemical_formula_sum 'Sr2 Sc1 Cd12 Ag3'
_cell_length_a 9.3479
_cell_length_b 9.3479
_cell_length_c 9.3479
_cell_angle_alpha 54.48
_cell_angle_beta 54.48
_cell_angle_gamma 54.48
_symmetry_space_group_name_H-M 'P 1'
_symmetry_Int_Tables_number 1
_symmetry_space_group_name_Hall 'P 1'
loop_
_atom_site_label
_atom_site_type_symbol
_atom_site_fract_x
_atom_site_fract_y
_atom_site_fract_z
Cd1 Cd 0.1732 0.5380 0.1732
Cd2 Cd 0.8268 0.8268 0.4620
Cd3 Cd 0.2217 0.8536 0.2217
Cd4 Cd 0.1464 0.7783 0.7783
Cd5 Cd 0.1732 0.1732 0.5380
Cd6 Cd 0.7783 0.7783 0.1464
Cd7 Cd 0.5380 0.1732 0.1732
Cd8 Cd 0.7783 0.1464 0.7783
Cd9 Cd 0.8536 0.2217 0.2217
Cd10 Cd 0.4620 0.8268 0.8268
Cd11 Cd 0.8268 0.4620 0.8268
Cd12 Cd 0.2217 0.2217 0.8536
Sr1 Sr 0.4160 0.4160 0.4160
Sr2 Sr 0.5840 0.5840 0.5840
Ag1 Ag 0.5000 0.0000 0.0000
Ag2 Ag 0.0000 0.5000 0.0000
Ag3 Ag 0.0000 0.0000 0.5000
Sc1 Sc 0.0000 0.0000 0.0000
```

---

[2]
# Sc4Tl2CdAg

A relaxed Sc4Tl2CdAg crystal (GGA-PBE, Alexandria).

Properties
Formation energy from the elements (meV/atom): -292

Structure (CIF):
```
data_Sc4Tl2CdAg
_chemical_formula_sum 'Sc4 Tl2 Cd1 Ag1'
_cell_length_a 5.0085
_cell_length_b 5.0085
_cell_length_c 8.6748
_cell_angle_alpha 73.22
_cell_angle_beta 73.22
_cell_angle_gamma 60.00
_symmetry_space_group_name_H-M 'P 1'
_symmetry_Int_Tables_number 1
_symmetry_space_group_name_Hall 'P 1'
loop_
_atom_site_label
_atom_site_type_symbol
_atom_site_fract_x
_atom_site_fract_y
_atom_site_fract_z
Cd1 Cd 0.0000 0.0000 0.0000
Sc1 Sc 0.3771 0.3771 0.8687
Sc2 Sc 0.1268 0.1268 0.6197
Sc3 Sc 0.6229 0.6229 0.1313
Sc4 Sc 0.8732 0.8732 0.3803
Tl1 Tl 0.2504 0.2504 0.2489
Tl2 Tl 0.7496 0.7496 0.7511
Ag1 Ag 0.5000 0.5000 0.5000
```

---

[3]
# TmScCdAg

A relaxed TmScCdAg crystal (GGA-PBE, Alexandria).

Properties
Offset from the most stable computed form (meV per atom): 16
Formation energy from the elements (meV/atom): -280

Structure (CIF):
```
data_TmScCdAg
_chemical_formula_sum 'Tm1 Sc1 Cd1 Ag1'
_cell_length_a 5.0481
_cell_length_b 5.0481
_cell_length_c 5.0481
_cell_angle_alpha 60.00
_cell_angle_beta 60.00
_cell_angle_gamma 60.00
_symmetry_space_group_name_H-M 'P 1'
_symmetry_Int_Tables_number 1
_symmetry_space_group_name_Hall 'P 1'
loop_
_atom_site_label
_atom_site_type_symbol
_atom_site_fract_x
_atom_site_fract_y
_atom_site_fract_z
Sc1 Sc 0.2500 0.2500 0.2500
Cd1 Cd 0.5000 0.5000 0.5000
Ag1 Ag 0.0000 0.0000 0.0000
Tm1 Tm 0.7500 0.7500 0.7500
```

---

[4]
# TmScCdAg

A relaxed TmScCdAg crystal (GGA-PBE, Alexandria).

Properties
Offset from the most stable computed form (meV per atom): 0
Formation energy from the elements (meV/atom): -296

Structure (CIF):
```
data_TmScCdAg
_chemical_formula_sum 'Tm1 Sc1 Cd1 Ag1'
_cell_length_a 3.5807
_cell_length_b 3.5807
_cell_length_c 7.0634
_cell_angle_alpha 90.00
_cell_angle_beta 90.00
_cell_angle_gamma 90.00
_symmetry_space_group_name_H-M 'P 1'
_symmetry_Int_Tables_number 1
_symmetry_space_group_name_Hall 'P 1'
loop_
_atom_site_label
_atom_site_type_symbol
_atom_site_fract_x
_atom_site_fract_y
_atom_site_fract_z
Cd1 Cd 0.0000 0.0000 0.8402
Tm1 Tm 0.5000 0.5000 0.1163
Sc1 Sc 0.5000 0.5000 0.5985
Ag1 Ag 0.0000 0.0000 0.3729
```

---

The evaluated total DFT energy (no corrections) for the records listed, in turn: -1.546, -4.520, -3.923, -3.938 eV per atom.